# 1
# SrH6Os

A geometry-optimized SrH6Os structure (PBE, Alexandria via LeMat-Bulk).

Properties
- N(E_F): 5.78 states/eV/cell
- Raw total energy: -4.17 eV per atom
- Calculated density: 6628 kg/m³

a b c (Å): 10.147 4.577 6.215
angles (deg): 90.00 99.73 90.00
Space group C2/c (No. 15)
Unique sites:
Sr  0.000  0.217  0.250
H  0.084  0.322  0.912
H  0.176  0.076  0.526
H  0.240  0.488  0.729
Os  0.250  0.250  0.000

# 2
# AsPRhAu2

A geometry-optimized AsPRhAu2 structure (PBE, Alexandria via LeMat-Bulk).

Properties
- Distance to the lowest polymorph of the same formula: 0.0275 eV/atom
- ΔH_f (0 K): -0.10 eV per atom
- N(E_F): 2.36 states/eV/cell
- Raw total energy: -4.89 eV per atom
- Calculated density: 10781 kg/m³

a b c (Å): 5.586 3.053 6.101
angles (deg): 90.00 116.86 90.00
Space group Pm (No. 6)
Unique sites:
As  0.000  0.000  0.000
P  0.274  0.000  0.562
Rh  0.965  0.500  0.310
Au  0.475  0.000  0.013
Au  0.691  0.000  0.527

# 3
# LaH3Pt

A geometry-optimized LaH3Pt structure (PBE, Alexandria via LeMat-Bulk).

Properties
- N(E_F): 2.81 states/eV/cell
- Raw total energy: -4.81 eV per atom
- Calculated density: 9273 kg/m³

a b c (Å): 12.133 3.872 5.150
angles (deg): 90.00 93.96 90.00
Space group Cm (No. 8)
Unique sites:
La  0.000  0.000  0.000
La  0.238  0.500  0.518
H  0.062  0.500  0.260
H  0.175  0.000  0.268
H  0.175  0.000  0.777
H  0.285  0.500  0.034
H  0.375  0.000  0.759
H  0.456  0.500  0.489
Pt  0.280  0.000  0.036
Pt  0.452  0.000  0.474

# 4
# Tb3YSc6

A geometry-optimized Tb3YSc6 structure (PBE, Alexandria via LeMat-Bulk).

Properties
- Distance to the lowest polymorph of the same formula: 0.2267 eV/atom
- ΔH_f (0 K): 0.41 eV per atom
- N(E_F): 65.66 states/eV/cell
- Raw total energy: -5.42 eV per atom
- Calculated density: 4953 kg/m³

a b c (Å): 9.2885 9.2885 11.2456
angles (deg): 90.00 90.00 120.00
Space group R3 (No. 146, hexagonal axes)
Unique sites:
Tb  0.0000  0.0000  0.0000
Tb  0.0000  0.0000  0.2486
Tb  0.0000  0.0000  0.4985
Y  0.0000  0.0000  0.7488
Sc  0.0002  0.6691  0.5029
Sc  0.0007  0.3312  0.9997

# 5
# BaCrBr2

A geometry-optimized BaCrBr2 structure (PBE, Alexandria via LeMat-Bulk).

Properties
- Distance to the lowest polymorph of the same formula: 0.1379 eV/atom
- N(E_F): 4.01 states/eV/cell
- Raw total energy: -4.38 eV per atom
- Calculated density: 4741 kg/m³

a b c (Å): 4.3457 4.3457 22.4309
angles (deg): 90.00 90.00 120.00
Space group R-3m (No. 166, hexagonal axes)
Unique sites:
Ba  0.0000  0.0000  0.0000
Cr  0.0000  0.0000  0.5000
Br  0.0000  0.0000  0.2290

# 6
# Cd5Pd2Au5

A geometry-optimized Cd5Pd2Au5 structure (PBE, Alexandria via LeMat-Bulk).

Properties
- ΔH_f (0 K): -0.22 eV per atom
- N(E_F): 7.84 states/eV/cell
- Raw total energy: -2.83 eV per atom
- Calculated density: 13118 kg/m³

a b c (Å): 12.872 4.169 9.360
angles (deg): 90.00 117.50 90.00
Space group C2/m (No. 12)
Unique sites:
Cd  0.000  0.000  0.000
Cd  0.079  0.000  0.742
Cd  0.250  0.000  0.268
Pd  0.165  0.000  0.503
Au  0.000  0.500  0.500
Au  0.086  0.500  0.257
Au  0.170  0.500  0.004

# 7
# Li2PaNi9

A geometry-optimized Li2PaNi9 structure (PBE, Alexandria via LeMat-Bulk).

Properties
- ΔH_f (0 K): -0.20 eV per atom
- N(E_F): 38.97 states/eV/cell
- Raw total energy: -5.64 eV per atom
- Calculated density: 8241 kg/m³

a b c (Å): 4.7870 4.7870 23.5497
angles (deg): 90.00 90.00 120.00
Space group R-3m (No. 166, hexagonal axes)
Unique sites:
Li  0.0000  0.0000  0.1467
Pa  0.0000  0.0000  0.0000
Ni  0.0000  0.0000  0.3335
Ni  0.0000  0.0000  0.5000
Ni  0.0019  0.5009  0.9149

# 8
# BaMnNb2Re

A geometry-optimized BaMnNb2Re structure (PBE, Alexandria via LeMat-Bulk).

Properties
- ΔH_f (0 K): 1.13 eV per atom
- N(E_F): 9.63 states/eV/cell
- Raw total energy: -7.61 eV per atom
- Calculated density: 7888 kg/m³

a b c (Å): 5.017 5.017 4.720
angles (deg): 90.00 90.00 90.00
Space group P4/mmm (No. 123)
Unique sites:
Ba  0.000  0.000  0.000
Mn  0.500  0.500  0.000
Nb  0.000  0.500  0.500
Re  0.500  0.500  0.500

# 9
# Ba6Sb2SeCl3

A geometry-optimized Ba6Sb2SeCl3 structure (PBE, Alexandria via LeMat-Bulk).

Properties
- N(E_F): 7.25 states/eV/cell
- Raw total energy: -4.11 eV per atom
- Calculated density: 4434 kg/m³

a b c (Å): 20.734 4.880 9.443
angles (deg): 90.00 100.87 90.00
Space group C2/m (No. 12)
Unique sites:
Ba  0.001  0.000  0.240
Ba  0.163  0.500  0.080
Ba  0.167  0.500  0.578
Sb  0.165  0.000  0.326
Se  0.000  0.500  0.000
Cl  0.000  0.500  0.500
Cl  0.164  0.000  0.832